[1]
Density functional theory data (PBE) for a relaxed HoIrO5 crystal.

a = 6.256 Å, b = 6.256 Å, c = 6.256 Å
α = 116.64°, β = 116.27°, γ = 96.26°
Atoms (fractional coordinates):
Ho 0.415 0.165 0.250
Ho 0.585 0.835 0.750
Ir 0.000 0.000 0.500
Ir 0.000 0.500 0.000
O 0.140 0.890 0.250
O 0.202 0.346 0.643
O 0.202 0.559 0.857
O 0.298 0.000 0.798
O 0.298 0.500 0.298
O 0.702 0.000 0.202
O 0.702 0.500 0.702
O 0.798 0.441 0.143
O 0.798 0.654 0.357
O 0.860 0.110 0.750

## Properties
symmetry	Imma
total magnetic moment	0.00	Bohr magnetons per cell
energy relative to the elements, uncorrected	-1554	meV/atom
uncorrected energy	-7.016	eV per atom

[2]
Density functional theory data (PBE) for a relaxed CdBS3 crystal.

a = 7.265 Å, b = 7.265 Å, c = 7.265 Å
α = 125.92°, β = 92.80°, γ = 111.38°
Atoms (fractional coordinates):
Cd 0.146 0.250 0.396
Cd 0.854 0.750 0.604
B 0.077 0.632 0.945
B 0.686 0.132 0.055
S 0.047 0.310 0.752
S 0.047 0.795 0.237
S 0.173 0.823 0.850
S 0.558 0.295 0.248
S 0.558 0.810 0.763
S 0.973 0.323 0.150

## Properties
symmetry	Ima2
distance to the lowest polymorph of the same formula	0.0	kJ/mol of atoms
total magnetic moment	0.00	Bohr magnetons per cell
energy relative to the elements, uncorrected	-145	meV/atom
uncorrected energy	-4.140	eV per atom

[3]
Density functional theory data (PBE) for a relaxed Ca2AgSb crystal.

a = 9.354 Å, b = 9.354 Å, c = 9.354 Å
α = 140.16°, β = 140.16°, γ = 57.60°
Atoms (fractional coordinates):
Ca 0.115 0.625 0.990
Ca 0.375 0.365 0.490
Ca 0.635 0.125 0.010
Ca 0.875 0.885 0.510
Ag 0.250 0.750 0.500
Ag 0.500 0.500 0.000
Sb 0.000 0.000 0.000
Sb 0.750 0.250 0.500

## Properties
symmetry	I-42d
total magnetic moment	0.00	Bohr magnetons per cell
energy relative to the elements, uncorrected	-200	meV/atom
uncorrected energy	-2.945	eV per atom

[4]
Density functional theory data (PBE) for a relaxed HRh2Se crystal.

a = 5.478 Å, b = 5.478 Å, c = 5.478 Å
α = 36.29°, β = 36.29°, γ = 36.29°
Atoms (fractional coordinates):
H 0.000 0.000 0.000
Rh 0.438 0.438 0.438
Rh 0.633 0.633 0.633
Se 0.195 0.195 0.195

## Properties
symmetry	R3m
distance to the lowest polymorph of the same formula	10.0	kJ/mol of atoms
total magnetic moment	0.00	Bohr magnetons per cell
uncorrected energy	-5.328	eV per atom

[5]
Density functional theory data (PBE) for a relaxed Tb3Ni3Sb4 crystal.

a = 8.235 Å, b = 8.235 Å, c = 8.235 Å
α = 109.47°, β = 109.47°, γ = 109.47°
Atoms (fractional coordinates):
Tb 0.125 0.875 0.250
Tb 0.250 0.125 0.875
Tb 0.375 0.625 0.750
Tb 0.625 0.750 0.375
Tb 0.750 0.375 0.625
Tb 0.875 0.250 0.125
Ni 0.125 0.750 0.875
Ni 0.250 0.625 0.375
Ni 0.375 0.250 0.625
Ni 0.625 0.375 0.250
Ni 0.750 0.875 0.125
Ni 0.875 0.125 0.750
Sb 0.000 0.144 0.500
Sb 0.000 0.644 0.500
Sb 0.144 0.500 0.000
Sb 0.356 0.356 0.356
Sb 0.500 0.000 0.144
Sb 0.500 0.000 0.644
Sb 0.644 0.500 0.000
Sb 0.856 0.856 0.856

## Properties
symmetry	I-43d
total magnetic moment	0.00	Bohr magnetons per cell
energy relative to the elements, uncorrected	-807	meV/atom
uncorrected energy	-5.580	eV per atom

[6]
Density functional theory data (PBE) for a relaxed LiPm2Ga12 crystal.

a = 6.191 Å, b = 6.191 Å, c = 15.174 Å
α = 90.00°, β = 90.00°, γ = 90.00°
Atoms (fractional coordinates):
Li 0.250 0.750 0.000
Li 0.750 0.250 0.000
Pm 0.250 0.750 0.245
Pm 0.250 0.750 0.755
Pm 0.750 0.250 0.245
Pm 0.750 0.250 0.755
Ga 0.001 0.501 0.086
Ga 0.001 0.999 0.914
Ga 0.081 0.581 0.571
Ga 0.081 0.919 0.429
Ga 0.250 0.250 0.181
Ga 0.250 0.250 0.343
Ga 0.250 0.250 0.657
Ga 0.250 0.250 0.819
Ga 0.419 0.581 0.429
Ga 0.419 0.919 0.571
Ga 0.499 0.501 0.914
Ga 0.499 0.999 0.086
Ga 0.501 0.001 0.914
Ga 0.501 0.499 0.086
Ga 0.581 0.081 0.429
Ga 0.581 0.419 0.571
Ga 0.750 0.750 0.181
Ga 0.750 0.750 0.343
Ga 0.750 0.750 0.657
Ga 0.750 0.750 0.819
Ga 0.919 0.081 0.571
Ga 0.919 0.419 0.429
Ga 0.999 0.001 0.086
Ga 0.999 0.499 0.914

## Properties
symmetry	P4/nbm
total magnetic moment	0.00	Bohr magnetons per cell
energy relative to the elements	-345	meV per atom
uncorrected energy	-3.528	eV per atom

[7]
Density functional theory data (PBE) for a relaxed Mg2BeF crystal.

a = 4.496 Å, b = 4.496 Å, c = 4.496 Å
α = 60.00°, β = 60.00°, γ = 60.00°
Atoms (fractional coordinates):
Mg 0.250 0.250 0.250
Mg 0.750 0.750 0.750
Be 0.000 0.000 0.000
F 0.500 0.500 0.500

## Properties
symmetry	Fm-3m
distance to the lowest polymorph of the same formula	33.7	kJ/mol of atoms
total magnetic moment	0.00	Bohr magnetons per cell
energy relative to the elements, uncorrected	-344	meV/atom
uncorrected energy	-2.541	eV per atom

[8]
Density functional theory data (PBE) for a relaxed KRe4 crystal.

a = 6.091 Å, b = 6.091 Å, c = 6.091 Å
α = 137.89°, β = 137.89°, γ = 61.08°
Atoms (fractional coordinates):
K 0.000 0.000 0.000
Re 0.250 0.750 0.500
Re 0.373 0.373 0.000
Re 0.627 0.627 0.000
Re 0.750 0.250 0.500

## Properties
symmetry	I4/mmm
distance to the lowest polymorph of the same formula	0.0	kJ/mol of atoms
total magnetic moment	0.00	Bohr magnetons per cell
energy relative to the elements	774	meV per atom
uncorrected energy	-9.404	eV per atom

Question: uncorrected energy of number 1 (HoIrO5)?
Answer: -7.016 eV per atom